Here is a relaxed structure of HoPaMn2 from Alexandria. Energies are from GGA-PBE.

a = 3.3540 Å, b = 3.3540 Å, c = 6.9017 Å
α = 90.00°, β = 90.00°, γ = 90.00°
Closest atoms and distances in Å follow each position.
Space group P4/mmm (No. 123)
Asymmetric unit:
Ho: 0.0000 0.0000 0.0000 x1  8 Mn 3.13, 4 Ho 3.35, 2 Pa 3.45
Pa: 0.0000 0.0000 0.5000 x1  8 Mn 2.76
Mn: 0.5000 0.5000 0.2953 x2  4 Pa 2.76, 1 Mn 2.83

raw total energy: -8.029 eV per atom
calculated volume: 77.6 Å³/cell
ΔH_f (0 K): 7.1 kJ/mol of atoms
offset from the most stable computed form: 9 kJ/mol of formula units
size of the total moment: 3.1 μB per cell

***

Here is a relaxed structure of HoPaMn17 from Alexandria. Energies are from GGA-PBE.

a = 8.5936 Å, b = 8.5936 Å, c = 11.6242 Å
α = 90.00°, β = 90.00°, γ = 120.00°
Closest atoms and distances in Å follow each position.
Space group R3m (No. 160, hexagonal axes)
Asymmetric unit:
Ho: 0.0000 0.0000 0.0000 x3  19 Mn 2.91-3.26
Pa: 0.0000 0.0000 0.7051 x3  13 Mn 2.89-3.15
Mn: 0.0000 0.0000 0.2544 x3  10 Mn 2.35-2.62
Mn: 0.0000 0.0000 0.4567 x3  7 Mn 2.35-2.62
Mn: 0.0011 0.2745 0.3527 x18  6 Mn 2.30-2.53
Mn: 0.0029 0.5014 0.8506 x9  8 Mn 2.30-2.47
Mn: 0.0137 0.5068 0.2174 x9  9 Mn 2.47-2.65
Mn: 0.1698 0.3396 0.8248 x9  9 Mn 2.46-2.68

raw total energy: -8.953 eV per atom
calculated volume: 743.4 Å³/cell
ΔH_f (0 K): -0.8 kJ/mol of atoms
size of the total moment: 16.9 μB per cell

***

Here is a relaxed structure of HoPaMn2 from Alexandria. Energies are from GGA-PBE.

a = 4.3258 Å, b = 4.3258 Å, c = 14.6155 Å
α = 90.00°, β = 90.00°, γ = 120.00°
Closest atoms and distances in Å follow each position.
Space group R-3m (No. 166, hexagonal axes)
Asymmetric unit:
Ho: 0.0000 0.0000 0.0000 x3  8 Mn 3.01-3.12
Pa: 0.0000 0.0000 0.5000 x3  6 Mn 2.56
Mn: 0.0000 0.0000 0.2058 x6  3 Pa 2.56, 3 Mn 2.75

raw total energy: -8.053 eV per atom
calculated volume: 236.9 Å³/cell
ΔH_f (0 K): 4.9 kJ/mol of atoms
offset from the most stable computed form: 0 kJ/mol of formula units
size of the total moment: 7.2 μB per cell

***

Here is a relaxed structure of HoPaMn4 from Alexandria. Energies are from GGA-PBE.

a = 7.2388 Å, b = 7.2388 Å, c = 7.2388 Å
α = 90.00°, β = 90.00°, γ = 90.00°
Closest atoms and distances in Å follow each position.
Space group F-43m (No. 216)
Asymmetric unit:
Ho: 0.0000 0.0000 0.0000 x4  12 Mn 3.00, 4 Pa 3.13
Pa: 0.2500 0.2500 0.7500 x4  12 Mn 3.00, 4 Ho 3.13
Mn: 0.1245 0.1245 0.3755 x16  6 Mn 2.55-2.57

raw total energy: -8.430 eV per atom
calculated volume: 379.3 Å³/cell
ΔH_f (0 K): 2.8 kJ/mol of atoms
size of the total moment: 25.6 μB per cell